# PBE CuSb3S4, optimized geometry
# Calculated density, g cm⁻³: 4.7
# Formation energy (no corrections), eV per atom: -0.10
data_CuSb3S4
_chemical_formula_sum 'Cu2 Sb6 S8'
_symmetry_space_group_name_H-M 'P m n 21'
_symmetry_Int_Tables_number 31
_cell_length_a 10.468
_cell_length_b 6.469
_cell_length_c 5.845
_cell_angle_alpha 90.00
_cell_angle_beta 90.00
_cell_angle_gamma 90.00
loop_
_symmetry_equiv_pos_as_xyz
'x,y,z'
'-x+1/2,-y,z+1/2'
'-x,y,z'
'x+1/2,-y,z+1/2'
loop_
_atom_site_label
_atom_site_type_symbol
_atom_site_fract_x
_atom_site_fract_y
_atom_site_fract_z
Cu1 Cu 0.000 0.215 0.000
Sb1 Sb 0.000 0.988 0.468
Sb2 Sb 0.250 0.272 0.508
S1 S 0.000 0.352 0.617
S2 S 0.000 0.862 0.886
S3 S 0.200 0.328 0.097